Entry 1:
The following is a PBE-GGA calculation of NaCaInBi after structural relaxation, from Alexandria via LeMat-Bulk.

Output
The total moment comes out at 0.0 μB/cell. The formation energy is -0.38 eV per atom. The density of states at the Fermi level is 0.853 states/eV per atom. The calculation puts the final energy at -2.869 eV per atom.

abc: 5.5229 5.5229 5.5229
angles: 60.00 60.00 60.00
Fractional coordinates of all 4 atoms:
1 Na 0.0000 0.0000 0.0000
2 Ca 0.5000 0.5000 0.5000
3 In 0.2500 0.2500 0.2500
4 Bi 0.7500 0.7500 0.7500



Entry 2:
The following is a PBE-GGA calculation of NaSrV after structural relaxation, from Alexandria via LeMat-Bulk.

Output
The total moment comes out at 3.9 μB/cell. Its energy above the most stable polymorph in this dataset is 142 kJ/mol of formula units. The formation energy is 0.88 eV per atom. The density of states at the Fermi level is 0.663 states/eV per atom. The calculation puts the final energy at -3.158 eV per atom.

abc: 5.7333 5.7333 3.2955
angles: 90.00 90.00 120.00
Fractional coordinates of all 3 atoms:
1 Na 0.0000 0.0000 0.0000
2 Sr 0.3333 0.6667 0.5000
3 V 0.6667 0.3333 0.5000



Entry 3:
The following is a PBE-GGA calculation of KTlReI6 after structural relaxation, from Alexandria via LeMat-Bulk.

Output
The total moment comes out at 5.9 μB/cell. The value obtained for the formation energy (no corrections) is -0.403 eV per atom. The calculation puts the final energy at -3.204 eV per atom.

abc: 8.4099 8.4099 13.3292
angles: 90.00 90.00 120.00
Fractional coordinates of all 18 atoms:
1 K 0.3333 0.6667 0.2500
2 K 0.6667 0.3333 0.7500
3 Tl 0.0000 0.0000 0.0000
4 Tl 0.0000 0.0000 0.5000
5 Re 0.3333 0.6667 0.7500
6 Re 0.6667 0.3333 0.2500
7 I 0.0682 0.4012 0.6293
8 I 0.0682 0.6670 0.8707
9 I 0.3330 0.4012 0.8707
10 I 0.3330 0.9318 0.6293
11 I 0.4012 0.0682 0.1293
12 I 0.4012 0.3330 0.3707
13 I 0.5988 0.6670 0.6293
14 I 0.5988 0.9318 0.8707
15 I 0.6670 0.0682 0.3707
16 I 0.6670 0.5988 0.1293
17 I 0.9318 0.3330 0.1293
18 I 0.9318 0.5988 0.3707



Entry 4:
The following is a PBE-GGA calculation of LiCeYPd after structural relaxation, from Alexandria via LeMat-Bulk.

Output
The total moment comes out at 1.0 μB/cell. The formation energy is -0.26 eV per atom. The density of states at the Fermi level is 2.147 states/eV per atom. The calculation puts the final energy at -5.141 eV per atom.

abc: 5.0877 5.0877 5.0877
angles: 60.00 60.00 60.00
Fractional coordinates of all 4 atoms:
1 Li 0.0000 0.0000 0.0000
2 Ce 0.7500 0.7500 0.7500
3 Y 0.2500 0.2500 0.2500
4 Pd 0.5000 0.5000 0.5000



Entry 5:
The following is a PBE-GGA calculation of NpTlHg after structural relaxation, from Alexandria via LeMat-Bulk.

Output
The total moment comes out at 4.0 μB/cell. The formation energy is 0.31 eV per atom. The density of states at the Fermi level is 0.952 states/eV per atom. The calculation puts the final energy at -4.894 eV per atom.

abc: 3.5802 3.5802 12.2026
angles: 90.00 90.00 90.00
Fractional coordinates of all 6 atoms:
1 Np 0.2500 0.7500 0.0000
2 Np 0.7500 0.2500 0.0000
3 Tl 0.2500 0.2500 0.3975
4 Tl 0.7500 0.7500 0.6025
5 Hg 0.2500 0.2500 0.7719
6 Hg 0.7500 0.7500 0.2281



Entry 6:
The following is a PBE-GGA calculation of La3Nd6Tm2In after structural relaxation, from Alexandria via LeMat-Bulk.

Output
The total moment comes out at 0.0 μB/cell. The formation energy is -0.03 eV per atom. The density of states at the Fermi level is 1.414 states/eV per atom. The calculation puts the final energy at -4.615 eV per atom.

abc: 6.3089 6.3089 11.8891
angles: 95.21 95.21 120.23
Fractional coordinates of all 12 atoms:
1 La 0.0000 0.0000 0.0000
2 La 0.3285 0.6715 0.0000
3 La 0.6715 0.3285 0.0000
4 Nd 0.0963 0.4219 0.2605
5 Nd 0.2531 0.2531 0.7423
6 Nd 0.4219 0.0963 0.2605
7 Nd 0.5781 0.9037 0.7395
8 Nd 0.7469 0.7469 0.2577
9 Nd 0.9037 0.5781 0.7395
10 Tm 0.1657 0.8343 0.5000
11 Tm 0.8343 0.1657 0.5000
12 In 0.5000 0.5000 0.5000



Entry 7:
The following is a PBE-GGA calculation of LaOs4Cl2 after structural relaxation, from Alexandria via LeMat-Bulk.

Output
The total moment comes out at 3.0 μB/cell. The density of states at the Fermi level is 1.383 states/eV per atom. The value obtained for the formation energy (no corrections) is 2.664 eV per atom. The calculation puts the final energy at -4.984 eV per atom.

abc: 7.5225 7.5225 7.5225
angles: 142.24 142.24 54.47
Fractional coordinates of all 7 atoms:
1 La 0.0000 0.0000 0.0000
2 Os 0.0000 0.5000 0.5000
3 Os 0.2298 0.2298 0.0000
4 Os 0.5000 0.0000 0.5000
5 Os 0.7702 0.7702 0.0000
6 Cl 0.3922 0.3922 0.0000
7 Cl 0.6078 0.6078 0.0000



Entry 8:
The following is a PBE-GGA calculation of KPuAuCl6 after structural relaxation, from Alexandria via LeMat-Bulk.

Output
The total moment comes out at 8.0 μB/cell. The density of states at the Fermi level is 0.755 states/eV per atom. The value obtained for the formation energy (no corrections) is -1.353 eV per atom. The calculation puts the final energy at -4.662 eV per atom.

abc: 6.8382 6.8382 14.3460
angles: 90.00 90.00 120.00
Fractional coordinates of all 18 atoms:
1 K 0.0000 0.0000 0.0000
2 K 0.0000 0.0000 0.5000
3 Pu 0.3333 0.6667 0.2500
4 Pu 0.6667 0.3333 0.7500
5 Au 0.3333 0.6667 0.7500
6 Au 0.6667 0.3333 0.2500
7 Cl 0.0130 0.3652 0.1414
8 Cl 0.0130 0.6478 0.3586
9 Cl 0.3522 0.3652 0.3586
10 Cl 0.3522 0.9870 0.1414
11 Cl 0.3652 0.0130 0.6414
12 Cl 0.3652 0.3522 0.8586
13 Cl 0.6348 0.6478 0.1414
14 Cl 0.6348 0.9870 0.3586
15 Cl 0.6478 0.0130 0.8586
16 Cl 0.6478 0.6348 0.6414
17 Cl 0.9870 0.3522 0.6414
18 Cl 0.9870 0.6348 0.8586



Entry 9:
The following is a PBE-GGA calculation of LaYTc2O8 after structural relaxation, from Alexandria via LeMat-Bulk.

Output
The total moment comes out at 4.0 μB/cell. The value obtained for the formation energy (no corrections) is -2.104 eV per atom. The calculation puts the final energy at -8.087 eV per atom.

abc: 5.9083 5.9083 7.0391
angles: 90.00 90.00 120.00
Fractional coordinates of all 12 atoms:
1 La 0.0000 0.0000 0.0000
2 Y 0.0000 0.0000 0.5000
3 Tc 0.3333 0.6667 0.7963
4 Tc 0.6667 0.3333 0.2037
5 O 0.1579 0.3157 0.7253
6 O 0.1579 0.8421 0.7253
7 O 0.3157 0.1579 0.2747
8 O 0.3333 0.6667 0.0501
9 O 0.6667 0.3333 0.9499
10 O 0.6843 0.8421 0.7253
11 O 0.8421 0.1579 0.2747
12 O 0.8421 0.6843 0.2747



Entry 10:
The following is a PBE-GGA calculation of Ac2ScGa3Au4 after structural relaxation, from Alexandria via LeMat-Bulk.

Output
The total moment comes out at 0.0 μB/cell. The formation energy is -0.68 eV per atom. The density of states at the Fermi level is 0.863 states/eV per atom. The calculation puts the final energy at -4.359 eV per atom.

abc: 4.5355 4.5355 11.2213
angles: 90.00 90.00 90.00
Fractional coordinates of all 10 atoms:
1 Ac 0.0000 0.5000 0.2333
2 Ac 0.5000 0.0000 0.7667
3 Sc 0.0000 0.0000 0.5000
4 Ga 0.0000 0.5000 0.8743
5 Ga 0.5000 0.0000 0.1257
6 Ga 0.5000 0.5000 0.5000
7 Au 0.0000 0.0000 0.0000
8 Au 0.0000 0.5000 0.6434
9 Au 0.5000 0.0000 0.3566
10 Au 0.5000 0.5000 0.0000



Entry 11:
The following is a PBE-GGA calculation of TiBiF2 after structural relaxation, from Alexandria via LeMat-Bulk.

Output
The total moment comes out at 0.0 μB/cell. Its energy above the most stable polymorph in this dataset is 321 kJ/mol of formula units. The density of states at the Fermi level is 0.629 states/eV per atom. The value obtained for the formation energy (no corrections) is -1.005 eV per atom. The calculation puts the final energy at -4.884 eV per atom.

abc: 4.4681 4.4681 4.4681
angles: 60.00 60.00 60.00
Fractional coordinates of all 4 atoms:
1 Ti 0.0000 0.0000 0.0000
2 Bi 0.5000 0.5000 0.5000
3 F 0.2500 0.2500 0.2500
4 F 0.7500 0.7500 0.7500



Entry 12:
The following is a PBE-GGA calculation of CrTcSn3 after structural relaxation, from Alexandria via LeMat-Bulk.

Output
The total moment comes out at 5.1 μB/cell. Its energy above the most stable polymorph in this dataset is 0 kJ/mol of formula units. The formation energy is 0.63 eV per atom. The density of states at the Fermi level is 0.747 states/eV per atom. The calculation puts the final energy at -5.773 eV per atom.

abc: 5.1706 5.1706 5.1706
angles: 90.00 90.00 90.00
Fractional coordinates of all 5 atoms:
1 Cr 0.0000 0.0000 0.0000
2 Tc 0.5000 0.5000 0.5000
3 Sn 0.0000 0.5000 0.5000
4 Sn 0.5000 0.0000 0.5000
5 Sn 0.5000 0.5000 0.0000



Entry 13:
The following is a PBE-GGA calculation of LiScTe2Rh after structural relaxation, from Alexandria via LeMat-Bulk.

Output
The total moment comes out at 0.7 μB/cell. The density of states at the Fermi level is 0.645 states/eV per atom. The value obtained for the formation energy (no corrections) is 0.271 eV per atom. The calculation puts the final energy at -4.105 eV per atom.

abc: 4.8717 4.8717 4.4187
angles: 90.00 90.00 90.00
Fractional coordinates of all 5 atoms:
1 Li 0.0000 0.0000 0.0000
2 Sc 0.0000 0.0000 0.5000
3 Te 0.0000 0.5000 0.0000
4 Te 0.5000 0.0000 0.0000
5 Rh 0.5000 0.5000 0.5000



Entry 14:
The following is a PBE-GGA calculation of Li2TaIr after structural relaxation, from Alexandria via LeMat-Bulk.

Output
The total moment comes out at 0.0 μB/cell. Its energy above the most stable polymorph in this dataset is 99 kJ/mol of formula units. The formation energy is 0.10 eV per atom. The density of states at the Fermi level is 0.998 states/eV per atom. The calculation puts the final energy at -6.039 eV per atom.

abc: 2.7307 4.3491 5.0850
angles: 90.00 90.00 90.00
Fractional coordinates of all 4 atoms:
1 Li 0.0000 0.0000 0.2249
2 Li 0.0000 0.0000 0.7751
3 Ta 0.5000 0.5000 0.5000
4 Ir 0.5000 0.5000 0.0000



Entry 15:
The following is a PBE-GGA calculation of TmUPa2C4 after structural relaxation, from Alexandria via LeMat-Bulk.

Output
The total moment comes out at 0.0 μB/cell. The formation energy is -0.35 eV per atom. The density of states at the Fermi level is 1.009 states/eV per atom. The calculation puts the final energy at -9.310 eV per atom.

abc: 6.1261 3.5737 6.1691
angles: 90.00 109.61 90.00
Fractional coordinates of all 8 atoms:
1 Tm 0.0000 0.0000 0.0000
2 U 0.5000 0.5000 0.0000
3 Pa 0.0000 0.5000 0.5000
4 Pa 0.5000 0.0000 0.5000
5 C 0.2632 0.0000 0.7599
6 C 0.2648 0.5000 0.2522
7 C 0.7352 0.5000 0.7478
8 C 0.7368 0.0000 0.2401



Entry 16:
The following is a PBE-GGA calculation of KCaReW2 after structural relaxation, from Alexandria via LeMat-Bulk.

Output
The total moment comes out at 0.0 μB/cell. The formation energy is 3.36 eV per atom. The density of states at the Fermi level is 1.439 states/eV per atom. The calculation puts the final energy at -4.934 eV per atom.

abc: 4.9161 4.9161 4.9565
angles: 90.00 90.00 90.00
Fractional coordinates of all 5 atoms:
1 K 0.0000 0.0000 0.0000
2 Ca 0.5000 0.5000 0.5000
3 Re 0.5000 0.5000 0.0000
4 W 0.0000 0.5000 0.5000
5 W 0.5000 0.0000 0.5000



Entry 17:
The following is a PBE-GGA calculation of TmHf2Tl after structural relaxation, from Alexandria via LeMat-Bulk.

Output
The total moment comes out at 0.0 μB/cell. Its energy above the most stable polymorph in this dataset is 138 kJ/mol of formula units. The formation energy is 0.39 eV per atom. The density of states at the Fermi level is 1.493 states/eV per atom. The calculation puts the final energy at -6.292 eV per atom.

abc: 11.7009 11.7009 11.7009
angles: 15.53 15.53 15.53
Fractional coordinates of all 4 atoms:
1 Tm 0.0000 0.0000 0.0000
2 Hf 0.0911 0.0911 0.0911
3 Hf 0.9089 0.9089 0.9089
4 Tl 0.5000 0.5000 0.5000



Entry 18:
The following is a PBE-GGA calculation of HoInSnHg after structural relaxation, from Alexandria via LeMat-Bulk.

Output
The total moment comes out at 0.0 μB/cell. Its energy above the most stable polymorph in this dataset is 74 kJ/mol of formula units. The formation energy is -0.23 eV per atom. The density of states at the Fermi level is 0.590 states/eV per atom. The calculation puts the final energy at -3.131 eV per atom.

abc: 5.2951 5.2951 5.2951
angles: 60.00 60.00 60.00
Fractional coordinates of all 4 atoms:
1 Ho 0.0000 0.0000 0.0000
2 In 0.5000 0.5000 0.5000
3 Sn 0.2500 0.2500 0.2500
4 Hg 0.7500 0.7500 0.7500



Entry 19:
The following is a PBE-GGA calculation of Ba2ZrBr after structural relaxation, from Alexandria via LeMat-Bulk.

Output
The total moment comes out at 0.3 μB/cell. Its energy above the most stable polymorph in this dataset is 95 kJ/mol of formula units. The density of states at the Fermi level is 1.390 states/eV per atom. The value obtained for the formation energy (no corrections) is -0.051 eV per atom. The calculation puts the final energy at -3.568 eV per atom.

abc: 3.8191 3.8191 10.0413
angles: 90.00 90.00 90.00
Fractional coordinates of all 4 atoms:
1 Ba 0.0000 0.0000 0.0000
2 Ba 0.5000 0.5000 0.3652
3 Zr 0.5000 0.5000 0.7408
4 Br 0.0000 0.0000 0.6310



Entry 20:
The following is a PBE-GGA calculation of LiYHf after structural relaxation, from Alexandria via LeMat-Bulk.

Output
The total moment comes out at 0.0 μB/cell. Its energy above the most stable polymorph in this dataset is 39 kJ/mol of formula units. The formation energy is 0.23 eV per atom. The density of states at the Fermi level is 1.328 states/eV per atom. The calculation puts the final energy at -5.878 eV per atom.

abc: 5.9740 5.9740 6.0135
angles: 118.49 118.49 49.87
Fractional coordinates of all 6 atoms:
1 Li 0.1347 0.1347 0.0790
2 Li 0.8653 0.8653 0.9210
3 Y 0.1790 0.1790 0.6124
4 Y 0.8210 0.8210 0.3876
5 Hf 0.4622 0.4622 0.2202
6 Hf 0.5378 0.5378 0.7798